Compound: RbTaV2H
Source: the Alexandria database
Functional: PBE-GGA
Structure: relaxed

```
RbTaV2H
1.0
4.4307 0.0000 0.0000
0.0000 4.4307 0.0000
0.0000 0.0000 4.9850
Rb Ta V H
1 1 2 1
Direct
0.0000 0.0000 0.0000
0.0000 0.0000 0.5000
0.0000 0.5000 0.0000
0.5000 0.0000 0.0000
0.5000 0.5000 0.5000
```

- density of states at the Fermi level (states/eV per atom) = 1.164
- DFT total energy (eV/atom) = -3.367